Entry from Alexandria: an optimized crystal structure of AcMnI2O8 (GGA+U).

Geometry as POSCAR:
```
AcMnI2O8
1.0
5.4103 0.0000 0.0000
2.7052 4.6855 0.0000
2.7052 1.5618 6.6086
O I Mn Ac
8 2 1 1
Direct
0.9020 0.6475 0.1801 O
0.8128 0.8128 0.5615 O
0.6475 0.2704 0.1801 O
0.1872 0.1872 0.4385 O
0.3525 0.7296 0.8199 O
0.0980 0.3525 0.8199 O
0.2704 0.9020 0.1801 O
0.7296 0.0980 0.8199 O
0.7201 0.7201 0.8398 I
0.2799 0.2799 0.1602 I
0.0000 0.0000 0.0000 Mn
0.5000 0.5000 0.5000 Ac
```

- theoretical density (g cm⁻³) = 6.58
- DOS at the Fermi energy (states/eV/f.u.) = 5.88
- uncorrected energy (eV/atom) = -5.634